(1)
# LiInSe2N | the Alexandria database | GGA-PBE | relaxed
data_LiInSe2N
_chemical_formula_sum 'Li1 In1 Se2 N1'
_symmetry_space_group_name_H-M 'P 1'
_symmetry_Int_Tables_number 1
_symmetry_space_group_name_Hall 'P 1'
_cell_length_a 4.8004
_cell_length_b 4.3187
_cell_length_c 4.8004
_cell_angle_alpha 90.00
_cell_angle_beta 90.00
_cell_angle_gamma 90.00
loop_
_atom_site_label
_atom_site_fract_x
_atom_site_fract_y
_atom_site_fract_z
Se1 0.0000 0.0000 0.5000
N1 0.0000 0.0000 0.0000
In1 0.0000 0.5000 0.0000
Se2 0.5000 0.0000 0.0000
Li1 0.5000 0.5000 0.5000
# - Relative energy among the computed polymorphs: 0.00 kJ/mol of atoms
# - Fermi-level density of states: 1.4 states/eV/f.u.
# - Formation energy from raw total energies: 297 meV/atom

---

(2)
# LiInSe2N | the Alexandria database | GGA-PBE | relaxed
data_LiInSe2N
_chemical_formula_sum 'Li1 In1 Se2 N1'
_symmetry_space_group_name_H-M 'P 1'
_symmetry_Int_Tables_number 1
_symmetry_space_group_name_Hall 'P 1'
_cell_length_a 5.4515
_cell_length_b 5.4515
_cell_length_c 4.2231
_cell_angle_alpha 90.00
_cell_angle_beta 90.00
_cell_angle_gamma 90.00
loop_
_atom_site_label
_atom_site_fract_x
_atom_site_fract_y
_atom_site_fract_z
N1 0.0000 0.0000 0.5000
Se1 0.5000 0.0000 0.0000
Se2 0.0000 0.5000 0.0000
In1 0.0000 0.0000 0.0000
Li1 0.5000 0.5000 0.5000
# - Relative energy among the computed polymorphs: 19.88 kJ/mol of atoms
# - Fermi-level density of states: 2.8 states/eV/f.u.
# - Formation energy from raw total energies: 503 meV/atom

---

(3)
# LiInSeN2 | the Alexandria database | GGA-PBE | relaxed
data_LiInSeN2
_chemical_formula_sum 'Li1 In1 Se1 N2'
_symmetry_space_group_name_H-M 'P 1'
_symmetry_Int_Tables_number 1
_symmetry_space_group_name_Hall 'P 1'
_cell_length_a 4.1900
_cell_length_b 4.1900
_cell_length_c 5.2205
_cell_angle_alpha 90.00
_cell_angle_beta 90.00
_cell_angle_gamma 90.00
loop_
_atom_site_label
_atom_site_fract_x
_atom_site_fract_y
_atom_site_fract_z
Se1 0.0000 0.0000 0.5000
In1 0.5000 0.5000 0.5000
Li1 0.0000 0.0000 0.0000
N1 0.5000 0.0000 0.0000
N2 0.0000 0.5000 0.0000
# - Relative energy among the computed polymorphs: 28.88 kJ/mol of atoms
# - Fermi-level density of states: 1.9 states/eV/f.u.
# - Formation energy from raw total energies: 1348 meV/atom

---

(4)
# LiInSe2N | the Alexandria database | GGA-PBE | relaxed
data_LiInSe2N
_chemical_formula_sum 'Li1 In1 Se2 N1'
_symmetry_space_group_name_H-M 'P 1'
_symmetry_Int_Tables_number 1
_symmetry_space_group_name_Hall 'P 1'
_cell_length_a 4.9726
_cell_length_b 4.9726
_cell_length_c 3.8904
_cell_angle_alpha 90.00
_cell_angle_beta 90.00
_cell_angle_gamma 90.00
loop_
_atom_site_label
_atom_site_fract_x
_atom_site_fract_y
_atom_site_fract_z
Li1 0.0000 0.0000 0.0000
In1 0.5000 0.5000 0.5000
Se1 0.5000 0.0000 0.0000
N1 0.0000 0.0000 0.5000
Se2 0.0000 0.5000 0.0000
# - Relative energy among the computed polymorphs: 34.73 kJ/mol of atoms
# - Fermi-level density of states: 4.2 states/eV/f.u.
# - Formation energy from raw total energies: 657 meV/atom

---

(5)
# LiInSeN2 | the Alexandria database | GGA-PBE | relaxed
data_LiInSeN2
_chemical_formula_sum 'Li1 In1 Se1 N2'
_symmetry_space_group_name_H-M 'P 1'
_symmetry_Int_Tables_number 1
_symmetry_space_group_name_Hall 'P 1'
_cell_length_a 4.2925
_cell_length_b 4.2925
_cell_length_c 5.8905
_cell_angle_alpha 90.00
_cell_angle_beta 90.00
_cell_angle_gamma 90.00
loop_
_atom_site_label
_atom_site_fract_x
_atom_site_fract_y
_atom_site_fract_z
Li1 0.5000 0.5000 0.5000
Se1 0.0000 0.0000 0.5000
N1 0.5000 0.0000 0.0000
In1 0.0000 0.0000 0.0000
N2 0.0000 0.5000 0.0000
# - Relative energy among the computed polymorphs: 0.00 kJ/mol of atoms
# - Fermi-level density of states: 2.1 states/eV/f.u.
# - Formation energy from raw total energies: 1049 meV/atom

---

(6)
# LiTa4InN8 | the Alexandria database | GGA-PBE | relaxed
data_LiTa4InN8
_chemical_formula_sum 'Li1 Ta4 In1 N8'
_symmetry_space_group_name_H-M 'P 1'
_symmetry_Int_Tables_number 1
_symmetry_space_group_name_Hall 'P 1'
_cell_length_a 6.2861
_cell_length_b 6.2861
_cell_length_c 6.2572
_cell_angle_alpha 59.85
_cell_angle_beta 59.85
_cell_angle_gamma 60.00
loop_
_atom_site_label
_atom_site_fract_x
_atom_site_fract_y
_atom_site_fract_z
N1 0.2394 0.2394 0.2818
Ta1 0.0013 0.4882 0.5092
N2 0.2400 0.7437 0.2726
N3 0.2462 0.7925 0.7151
N4 0.7925 0.2462 0.7151
In1 0.3791 0.3791 0.8628
Li1 0.0000 0.0000 0.0001
Ta2 0.6210 0.6210 0.1370
N5 0.2462 0.2462 0.7151
Ta3 0.4882 0.0013 0.5092
N6 0.7576 0.7576 0.7273
N7 0.7437 0.2400 0.2726
N8 0.7437 0.7437 0.2726
Ta4 0.0013 0.0013 0.5092
# - Formation energy from raw total energies: -763 meV/atom

---

(7)
# LiInTc2N | the Alexandria database | GGA-PBE | relaxed
data_LiInTc2N
_chemical_formula_sum 'Li1 In1 Tc2 N1'
_symmetry_space_group_name_H-M 'P 1'
_symmetry_Int_Tables_number 1
_symmetry_space_group_name_Hall 'P 1'
_cell_length_a 4.0274
_cell_length_b 4.0274
_cell_length_c 4.2825
_cell_angle_alpha 90.00
_cell_angle_beta 90.00
_cell_angle_gamma 90.00
loop_
_atom_site_label
_atom_site_fract_x
_atom_site_fract_y
_atom_site_fract_z
N1 0.0000 0.0000 0.0000
Tc1 0.0000 0.5000 0.0000
In1 0.5000 0.5000 0.5000
Tc2 0.5000 0.0000 0.0000
Li1 0.0000 0.0000 0.5000
# - Fermi-level density of states: 4.5 states/eV/f.u.
# - Formation energy from raw total energies: -106 meV/atom

---

(8)
# LiTi2InN | the Alexandria database | GGA-PBE | relaxed
data_LiTi2InN
_chemical_formula_sum 'Li1 Ti2 In1 N1'
_symmetry_space_group_name_H-M 'P 1'
_symmetry_Int_Tables_number 1
_symmetry_space_group_name_Hall 'P 1'
_cell_length_a 4.1267
_cell_length_b 4.1267
_cell_length_c 4.2475
_cell_angle_alpha 90.00
_cell_angle_beta 90.00
_cell_angle_gamma 90.00
loop_
_atom_site_label
_atom_site_fract_x
_atom_site_fract_y
_atom_site_fract_z
Ti1 0.0000 0.5000 0.0000
Li1 0.0000 0.0000 0.5000
N1 0.0000 0.0000 0.0000
In1 0.5000 0.5000 0.5000
Ti2 0.5000 0.0000 0.0000
# - Fermi-level density of states: 2.8 states/eV/f.u.
# - Formation energy from raw total energies: -753 meV/atom

---

no.,magnetization (μB per cell),uncorrected energy (eV per atom)
1,0.00,-3.6926
2,2.73,-3.4865
3,4.79,-3.6096
4,2.71,-3.3326
5,3.99,-3.9090
6,0.00,-9.2391
7,0.03,-6.8483
8,0.00,-6.5065